Entry from Alexandria via LeMat-Bulk: Sr2In2Au after structural relaxation (PBE).

Summary:
ΔE_f = -524 meV per atom
E = -29.47 eV per cell
V = 302 Å³ per cell
polymorph energy (0 for the lowest one) = 8 meV per atom

Lattice parameters (Å, degrees): 4.055 4.873 15.298 90.00 90.00 90.00
Fractional coordinates of all 10 atoms:
Sr1 0.000 0.000 0.000
Sr2 0.000 0.000 0.246
Sr3 0.000 0.500 0.500
Sr4 0.000 0.500 0.746
In1 0.500 0.000 0.619
In2 0.500 0.000 0.822
In3 0.500 0.500 0.119
In4 0.500 0.500 0.322
Au1 0.500 0.000 0.423
Au2 0.500 0.500 0.923